Entry 1:
Material: Rb3Tl2AgI6
Method: DFT, PBE
State: relaxed

a b c (Å): 8.914 8.914 8.676
angles (deg): 99.43 99.43 121.15
Atoms (fractional coordinates):
Rb: 0.000 0.000 0.000
Rb: 0.333 0.667 0.000
Rb: 0.667 0.333 0.000
Tl: 0.173 0.827 0.500
Tl: 0.827 0.173 0.500
Ag: 0.500 0.500 0.500
I: 0.091 0.418 0.261
I: 0.294 0.294 0.692
I: 0.418 0.091 0.261
I: 0.582 0.909 0.739
I: 0.706 0.706 0.308
I: 0.909 0.582 0.739

Calculated values
theoretical density: 4.6 g cm⁻³
symmetry: C2/m
magnetic moment: 0.00 μB per cell
uncorrected formation energy: -0.968 eV per atom

***

Entry 2:
Material: Rb2TlAg2I6
Method: DFT, PBE
State: relaxed

a b c (Å): 8.989 8.989 8.425
angles (deg): 115.46 115.46 57.34
Atoms (fractional coordinates):
Rb: 0.241 0.241 0.199
Rb: 0.759 0.759 0.801
Tl: 0.000 0.000 0.500
Ag: 0.436 0.436 0.802
Ag: 0.564 0.564 0.198
I: 0.200 0.685 0.186
I: 0.238 0.238 0.633
I: 0.315 0.800 0.814
I: 0.685 0.200 0.186
I: 0.762 0.762 0.367
I: 0.800 0.315 0.814

Calculated values
theoretical density: 4.5 g cm⁻³
symmetry: C2/m
magnetic moment: 0.00 μB per cell
uncorrected formation energy: -0.697 eV per atom

***

Entry 3:
Material: Rb2TlAgI6
Method: DFT, PBE
State: relaxed

a b c (Å): 8.523 8.523 8.523
angles (deg): 60.00 60.00 60.00
Atoms (fractional coordinates):
Rb: 0.250 0.250 0.250
Rb: 0.750 0.750 0.750
Tl: 0.000 0.000 0.000
Ag: 0.500 0.500 0.500
I: 0.256 0.256 0.744
I: 0.256 0.744 0.256
I: 0.256 0.744 0.744
I: 0.744 0.256 0.256
I: 0.744 0.256 0.744
I: 0.744 0.744 0.256

Calculated values
theoretical density: 4.7 g cm⁻³
symmetry: Fm-3m
magnetic moment: 0.00 μB per cell
energy relative to the lowest polymorph listed for this composition: 0.023 eV per atom
uncorrected formation energy: -0.722 eV per atom

***

Entry 4:
Material: Rb2TlAgI4
Method: DFT, PBE
State: relaxed

a b c (Å): 8.440 8.440 18.650
angles (deg): 90.00 90.00 146.06
Atoms (fractional coordinates):
Rb: 0.138 0.862 0.561
Rb: 0.138 0.862 0.939
Rb: 0.862 0.138 0.061
Rb: 0.862 0.138 0.439
Tl: 0.384 0.616 0.750
Tl: 0.616 0.384 0.250
Ag: 0.332 0.668 0.250
Ag: 0.668 0.332 0.750
I: 0.070 0.930 0.750
I: 0.211 0.789 0.135
I: 0.211 0.789 0.365
I: 0.500 0.500 0.000
I: 0.500 0.500 0.500
I: 0.789 0.211 0.635
I: 0.789 0.211 0.865
I: 0.930 0.070 0.250

Calculated values
theoretical density: 4.4 g cm⁻³
symmetry: Cmcm
magnetic moment: 0.00 μB per cell
uncorrected formation energy: -0.941 eV per atom

***

Entry 5:
Material: Rb2TlAgI6
Method: DFT, PBE
State: relaxed

a b c (Å): 8.020 8.797 14.411
angles (deg): 90.00 122.71 90.00
Atoms (fractional coordinates):
Rb: 0.214 0.087 0.249
Rb: 0.214 0.413 0.749
Rb: 0.786 0.587 0.251
Rb: 0.786 0.913 0.751
Tl: 0.500 0.000 0.000
Tl: 0.500 0.500 0.500
Ag: 0.000 0.000 0.500
Ag: 0.000 0.500 0.000
I: 0.160 0.194 0.967
I: 0.160 0.306 0.467
I: 0.259 0.679 0.968
I: 0.259 0.821 0.468
I: 0.318 0.510 0.252
I: 0.318 0.990 0.752
I: 0.682 0.010 0.248
I: 0.682 0.490 0.748
I: 0.741 0.179 0.532
I: 0.741 0.321 0.032
I: 0.840 0.694 0.533
I: 0.840 0.806 0.033

Calculated values
theoretical density: 4.8 g cm⁻³
symmetry: P2_1/c
magnetic moment: 0.00 μB per cell
energy relative to the lowest polymorph listed for this composition: 0.000 eV per atom
uncorrected formation energy: -0.745 eV per atom

***

Entry 6:
Material: Rb2Tl3AgI6
Method: DFT, PBE
State: relaxed

a b c (Å): 8.601 8.601 8.743
angles (deg): 99.98 99.98 119.26
Atoms (fractional coordinates):
Rb: 0.163 0.837 0.000
Rb: 0.837 0.163 0.000
Tl: 0.000 0.000 0.500
Tl: 0.328 0.672 0.500
Tl: 0.672 0.328 0.500
Ag: 0.500 0.500 0.000
I: 0.141 0.429 0.773
I: 0.274 0.274 0.268
I: 0.429 0.141 0.773
I: 0.571 0.859 0.227
I: 0.726 0.726 0.732
I: 0.859 0.571 0.227

Calculated values
theoretical density: 5.2 g cm⁻³
symmetry: C2/m
magnetic moment: 0.00 μB per cell
uncorrected formation energy: -0.832 eV per atom

***

Entry 7:
Material: RbTlAgI3
Method: DFT, PBE
State: relaxed

a b c (Å): 10.789 4.761 10.830
angles (deg): 90.00 98.12 90.00
Atoms (fractional coordinates):
Rb: 0.176 0.250 0.147
Rb: 0.824 0.750 0.853
Tl: 0.184 0.250 0.665
Tl: 0.816 0.750 0.335
Ag: 0.419 0.750 0.425
Ag: 0.581 0.250 0.575
I: 0.150 0.750 0.404
I: 0.164 0.750 0.890
I: 0.495 0.750 0.695
I: 0.505 0.250 0.305
I: 0.836 0.250 0.110
I: 0.850 0.250 0.596

Calculated values
theoretical density: 4.7 g cm⁻³
symmetry: P2_1/m
magnetic moment: 0.00 μB per cell
uncorrected formation energy: -0.787 eV per atom

***

Entry 8:
Material: RbTlAg2I4
Method: DFT, PBE
State: relaxed

a b c (Å): 8.535 8.821 9.090
angles (deg): 90.00 90.00 90.00
Atoms (fractional coordinates):
Rb: 0.000 0.000 0.000
Rb: 0.500 0.500 0.500
Tl: 0.000 0.000 0.500
Tl: 0.500 0.500 0.000
Ag: 0.000 0.500 0.169
Ag: 0.000 0.500 0.831
Ag: 0.500 0.000 0.331
Ag: 0.500 0.000 0.669
I: 0.225 0.294 0.795
I: 0.225 0.706 0.205
I: 0.275 0.206 0.295
I: 0.275 0.794 0.705
I: 0.725 0.206 0.705
I: 0.725 0.794 0.295
I: 0.775 0.294 0.205
I: 0.775 0.706 0.795

Calculated values
theoretical density: 4.9 g cm⁻³
symmetry: I222
magnetic moment: 0.00 μB per cell
uncorrected formation energy: -0.624 eV per atom

***

Entry 9:
Material: Rb3Tl4AgI8
Method: DFT, PBE
State: relaxed

a b c (Å): 10.125 10.125 10.051
angles (deg): 119.24 119.24 59.73
Atoms (fractional coordinates):
Rb: 0.000 0.000 0.000
Rb: 0.000 0.500 0.000
Rb: 0.500 0.000 0.000
Tl: 0.000 0.000 0.500
Tl: 0.000 0.500 0.500
Tl: 0.500 0.000 0.500
Tl: 0.500 0.500 0.500
Ag: 0.500 0.500 0.000
I: 0.236 0.236 0.729
I: 0.254 0.254 0.261
I: 0.284 0.709 0.777
I: 0.291 0.716 0.223
I: 0.709 0.284 0.777
I: 0.716 0.291 0.223
I: 0.746 0.746 0.739
I: 0.764 0.764 0.271

Calculated values
theoretical density: 5.0 g cm⁻³
symmetry: C2/m
magnetic moment: 0.00 μB per cell
uncorrected formation energy: -0.882 eV per atom

***

Entry 10:
Material: RbTmAg2I6
Method: DFT, PBE
State: relaxed

a b c (Å): 10.919 10.919 8.995
angles (deg): 107.10 107.10 81.15
Atoms (fractional coordinates):
Rb: 0.165 0.835 0.750
Rb: 0.835 0.165 0.250
Tm: 0.176 0.824 0.250
Tm: 0.824 0.176 0.750
Ag: 0.392 0.486 0.854
Ag: 0.486 0.392 0.354
Ag: 0.514 0.608 0.646
Ag: 0.608 0.514 0.146
I: 0.054 0.180 0.666
I: 0.156 0.605 0.977
I: 0.180 0.054 0.166
I: 0.285 0.458 0.516
I: 0.395 0.844 0.523
I: 0.458 0.285 0.016
I: 0.542 0.715 0.984
I: 0.605 0.156 0.477
I: 0.715 0.542 0.484
I: 0.820 0.946 0.834
I: 0.844 0.395 0.023
I: 0.946 0.820 0.334

Calculated values
theoretical density: 4.2 g cm⁻³
symmetry: C2/c
magnetic moment: 0.00 μB per cell
uncorrected formation energy: -0.877 eV per atom

***

Entry 11:
Material: RbTmAgI5
Method: DFT, PBE
State: relaxed

a b c (Å): 8.489 8.489 11.417
angles (deg): 102.69 102.69 107.35
Atoms (fractional coordinates):
Rb: 0.146 0.854 0.750
Rb: 0.854 0.146 0.250
Tm: 0.500 0.500 0.000
Tm: 0.500 0.500 0.500
Ag: 0.190 0.810 0.250
Ag: 0.810 0.190 0.750
I: 0.131 0.264 0.943
I: 0.188 0.586 0.402
I: 0.264 0.131 0.443
I: 0.414 0.812 0.098
I: 0.425 0.575 0.750
I: 0.575 0.425 0.250
I: 0.586 0.188 0.902
I: 0.736 0.869 0.557
I: 0.812 0.414 0.598
I: 0.869 0.736 0.057

Calculated values
theoretical density: 4.5 g cm⁻³
symmetry: C2/c
magnetic moment: 0.00 μB per cell
uncorrected formation energy: -1.108 eV per atom

***

Entry 12:
Material: Rb2TmAgI6
Method: DFT, PBE
State: relaxed

a b c (Å): 8.381 8.659 14.341
angles (deg): 90.00 125.65 90.00
Atoms (fractional coordinates):
Rb: 0.230 0.071 0.251
Rb: 0.230 0.429 0.751
Rb: 0.770 0.571 0.249
Rb: 0.770 0.929 0.749
Tm: 0.000 0.000 0.500
Tm: 0.000 0.500 0.000
Ag: 0.500 0.000 0.000
Ag: 0.500 0.500 0.500
I: 0.156 0.212 0.961
I: 0.156 0.288 0.461
I: 0.249 0.697 0.958
I: 0.249 0.803 0.458
I: 0.335 0.009 0.752
I: 0.335 0.491 0.252
I: 0.665 0.509 0.748
I: 0.665 0.991 0.248
I: 0.751 0.197 0.542
I: 0.751 0.303 0.042
I: 0.844 0.712 0.539
I: 0.844 0.788 0.039

Calculated values
theoretical density: 4.7 g cm⁻³
symmetry: P2_1/c
magnetic moment: 0.00 μB per cell
uncorrected formation energy: -1.185 eV per atom

***

Entry 13:
Material: RbUAgI5
Method: DFT, PBE
State: relaxed

a b c (Å): 8.644 8.644 11.712
angles (deg): 103.29 103.29 106.83
Atoms (fractional coordinates):
Rb: 0.143 0.857 0.750
Rb: 0.857 0.143 0.250
U: 0.500 0.500 0.000
U: 0.500 0.500 0.500
Ag: 0.190 0.810 0.250
Ag: 0.810 0.190 0.750
I: 0.123 0.259 0.942
I: 0.178 0.582 0.391
I: 0.259 0.123 0.442
I: 0.417 0.583 0.750
I: 0.418 0.822 0.109
I: 0.582 0.178 0.891
I: 0.583 0.417 0.250
I: 0.741 0.877 0.558
I: 0.822 0.418 0.609
I: 0.877 0.741 0.058

Calculated values
theoretical density: 4.6 g cm⁻³
symmetry: C2/c
magnetic moment: 6.00 μB per cell
uncorrected formation energy: -0.828 eV per atom

***

Entry 14:
Material: Rb2UAgI6
Method: DFT, PBE
State: relaxed

a b c (Å): 15.152 15.152 15.152
angles (deg): 32.96 32.96 32.96
Atoms (fractional coordinates):
Rb: 0.117 0.117 0.117
Rb: 0.297 0.297 0.297
Rb: 0.703 0.703 0.703
Rb: 0.883 0.883 0.883
U: 0.419 0.419 0.419
U: 0.581 0.581 0.581
Ag: 0.000 0.000 0.000
Ag: 0.500 0.500 0.500
I: 0.115 0.630 0.630
I: 0.207 0.207 0.711
I: 0.207 0.711 0.207
I: 0.289 0.793 0.793
I: 0.370 0.370 0.885
I: 0.370 0.885 0.370
I: 0.630 0.115 0.630
I: 0.630 0.630 0.115
I: 0.711 0.207 0.207
I: 0.793 0.289 0.793
I: 0.793 0.793 0.289
I: 0.885 0.370 0.370

Calculated values
theoretical density: 4.6 g cm⁻³
symmetry: R-3m
magnetic moment: 6.00 μB per cell
uncorrected formation energy: -0.931 eV per atom

***

Entry 15:
Material: Rb2AgWI6
Method: DFT, PBE
State: relaxed

a b c (Å): 8.281 8.281 8.281
angles (deg): 60.00 60.00 60.00
Atoms (fractional coordinates):
Rb: 0.250 0.250 0.250
Rb: 0.750 0.750 0.750
Ag: 0.000 0.000 0.000
W: 0.500 0.500 0.500
I: 0.259 0.259 0.741
I: 0.259 0.741 0.259
I: 0.259 0.741 0.741
I: 0.741 0.259 0.259
I: 0.741 0.259 0.741
I: 0.741 0.741 0.259

Calculated values
theoretical density: 5.1 g cm⁻³
symmetry: Fm-3m
magnetic moment: 3.00 μB per cell
uncorrected formation energy: -0.536 eV per atom

***

Entry 16:
Material: RbYAgI6
Method: DFT, PBE
State: relaxed

a b c (Å): 7.583 7.700 8.047
angles (deg): 93.59 95.09 112.60
Atoms (fractional coordinates):
Rb: 0.000 0.000 0.000
Y: 0.367 0.665 0.506
Ag: 0.741 0.346 0.463
I: 0.036 0.604 0.243
I: 0.066 0.344 0.665
I: 0.398 0.959 0.769
I: 0.444 0.387 0.251
I: 0.644 0.966 0.314
I: 0.660 0.567 0.724

Calculated values
theoretical density: 4.0 g cm⁻³
symmetry: P1
magnetic moment: 0.00 μB per cell
uncorrected formation energy: -0.962 eV per atom

***

Entry 17:
Material: Rb3YAg2I9
Method: DFT, PBE
State: relaxed

a b c (Å): 8.430 8.430 10.513
angles (deg): 90.00 90.00 120.00
Atoms (fractional coordinates):
Rb: 0.000 0.000 0.000
Rb: 0.333 0.667 0.688
Rb: 0.667 0.333 0.312
Y: 0.000 0.000 0.500
Ag: 0.333 0.667 0.153
Ag: 0.667 0.333 0.847
I: 0.000 0.500 0.000
I: 0.168 0.337 0.333
I: 0.168 0.832 0.333
I: 0.337 0.168 0.667
I: 0.500 0.000 0.000
I: 0.500 0.500 0.000
I: 0.663 0.832 0.333
I: 0.832 0.168 0.667
I: 0.832 0.663 0.667

Calculated values
theoretical density: 4.4 g cm⁻³
symmetry: P-3m1
magnetic moment: 0.00 μB per cell
uncorrected formation energy: -0.986 eV per atom

***

Entry 18:
Material: Rb2YAg2I6
Method: DFT, PBE
State: relaxed

a b c (Å): 8.310 8.310 8.710
angles (deg): 112.13 112.13 69.04
Atoms (fractional coordinates):
Rb: 0.215 0.215 0.176
Rb: 0.785 0.785 0.824
Y: 0.000 0.000 0.500
Ag: 0.465 0.465 0.626
Ag: 0.535 0.535 0.374
I: 0.184 0.740 0.222
I: 0.246 0.246 0.622
I: 0.260 0.816 0.778
I: 0.740 0.184 0.222
I: 0.754 0.754 0.378
I: 0.816 0.260 0.778

Calculated values
theoretical density: 4.1 g cm⁻³
symmetry: C2/m
magnetic moment: 0.00 μB per cell
uncorrected formation energy: -0.954 eV per atom

***

Entry 19:
Material: RbYAgI5
Method: DFT, PBE
State: relaxed

a b c (Å): 8.526 8.526 11.502
angles (deg): 102.82 102.82 107.21
Atoms (fractional coordinates):
Rb: 0.144 0.856 0.750
Rb: 0.856 0.144 0.250
Y: 0.500 0.500 0.000
Y: 0.500 0.500 0.500
Ag: 0.190 0.810 0.250
Ag: 0.810 0.190 0.750
I: 0.128 0.263 0.943
I: 0.185 0.584 0.398
I: 0.263 0.128 0.443
I: 0.416 0.815 0.102
I: 0.422 0.578 0.750
I: 0.578 0.422 0.250
I: 0.584 0.185 0.898
I: 0.737 0.872 0.557
I: 0.815 0.416 0.602
I: 0.872 0.737 0.057

Calculated values
theoretical density: 4.1 g cm⁻³
symmetry: C2/c
magnetic moment: 0.00 μB per cell
uncorrected formation energy: -1.126 eV per atom